Record 1
An optimized crystal structure of NaTc2Rh, computed with PBE-GGA.

Summary:
E in eV for the cell shown: -101.63
Formation energy from the elements in eV per formula unit: 4.00
Size of the total moment in μB per cell: 0.0
Relative energy among the computed polymorphs in meV/atom: 62

Cell and atoms, written as CIF:
```
data_NaTc2Rh
_chemical_formula_sum 'Na4 Tc8 Rh4'
_space_group_name_H-M_alt 'P 1'
_space_group_IT_number 1
_cell_length_a 7.462
_cell_length_b 7.462
_cell_length_c 5.045
_cell_angle_alpha 90.00
_cell_angle_beta 90.00
_cell_angle_gamma 90.00
loop_
_space_group_symop_operation_xyz
'x,y,z'
loop_
_atom_site_label
_atom_site_fract_x
_atom_site_fract_y
_atom_site_fract_z
Na1 0.000 0.000 0.000
Na2 0.000 0.500 0.250
Na3 0.500 0.000 0.750
Na4 0.500 0.500 0.500
Tc1 0.199 0.250 0.625
Tc2 0.250 0.699 0.875
Tc3 0.250 0.801 0.375
Tc4 0.301 0.250 0.125
Tc5 0.699 0.750 0.125
Tc6 0.750 0.199 0.375
Tc7 0.750 0.301 0.875
Tc8 0.801 0.750 0.625
Rh1 0.000 0.000 0.500
Rh2 0.000 0.500 0.750
Rh3 0.500 0.000 0.250
Rh4 0.500 0.500 0.000
```


Record 2
An optimized crystal structure of NdSm2Th, computed with PBE-GGA.

Summary:
E in eV for the cell shown: -83.63
Formation energy from the elements in eV per formula unit: 0.72
Size of the total moment in μB per cell: 0.0
Relative energy among the computed polymorphs in meV/atom: 160

Cell and atoms, written as CIF:
```
data_NdSm2Th
_chemical_formula_sum 'Nd4 Sm8 Th4'
_space_group_name_H-M_alt 'P 1'
_space_group_IT_number 1
_cell_length_a 8.146
_cell_length_b 8.146
_cell_length_c 8.146
_cell_angle_alpha 90.00
_cell_angle_beta 90.00
_cell_angle_gamma 90.00
loop_
_space_group_symop_operation_xyz
'x,y,z'
loop_
_atom_site_label
_atom_site_fract_x
_atom_site_fract_y
_atom_site_fract_z
Nd1 0.000 0.000 0.000
Nd2 0.000 0.500 0.500
Nd3 0.500 0.000 0.500
Nd4 0.500 0.500 0.000
Sm1 0.250 0.250 0.250
Sm2 0.250 0.250 0.750
Sm3 0.250 0.750 0.250
Sm4 0.250 0.750 0.750
Sm5 0.750 0.250 0.250
Sm6 0.750 0.250 0.750
Sm7 0.750 0.750 0.250
Sm8 0.750 0.750 0.750
Th1 0.000 0.000 0.500
Th2 0.000 0.500 0.000
Th3 0.500 0.000 0.000
Th4 0.500 0.500 0.500
```


Record 3
An optimized crystal structure of K3Np3IrS8, computed with PBE-GGA.

Summary:
E in eV for the cell shown: -101.07
Energy relative to the elements, uncorrected in eV/atom: -1.139
Size of the total moment in μB per cell: 3.8

Cell and atoms, written as CIF:
```
data_K3Np3IrS8
_chemical_formula_sum 'K3 Np3 Ir1 S8'
_space_group_name_H-M_alt 'P 1'
_space_group_IT_number 1
_cell_length_a 7.818
_cell_length_b 7.818
_cell_length_c 8.831
_cell_angle_alpha 116.22
_cell_angle_beta 116.22
_cell_angle_gamma 59.92
loop_
_space_group_symop_operation_xyz
'x,y,z'
loop_
_atom_site_label
_atom_site_fract_x
_atom_site_fract_y
_atom_site_fract_z
K1 0.000 0.000 0.000
K2 0.000 0.500 0.000
K3 0.500 0.000 0.000
Np1 0.000 0.500 0.500
Np2 0.500 0.000 0.500
Np3 0.500 0.500 0.500
Ir1 0.000 0.000 0.500
S1 0.214 0.214 0.686
S2 0.215 0.758 0.687
S3 0.242 0.785 0.313
S4 0.264 0.264 0.293
S5 0.736 0.736 0.707
S6 0.758 0.215 0.687
S7 0.785 0.242 0.313
S8 0.786 0.786 0.314
```


Record 4
An optimized crystal structure of TeCSe, computed with PBE-GGA.

Summary:
E in eV for the cell shown: -26.30
Energy relative to the elements, uncorrected in eV/atom: 0.900
Size of the total moment in μB per cell: 0.0
Relative energy among the computed polymorphs in meV/atom: 112

Cell and atoms, written as CIF:
```
data_TeCSe
_chemical_formula_sum 'Te2 C2 Se2'
_space_group_name_H-M_alt 'P 1'
_space_group_IT_number 1
_cell_length_a 7.857
_cell_length_b 6.248
_cell_length_c 5.987
_cell_angle_alpha 90.00
_cell_angle_beta 109.44
_cell_angle_gamma 90.00
loop_
_space_group_symop_operation_xyz
'x,y,z'
loop_
_atom_site_label
_atom_site_fract_x
_atom_site_fract_y
_atom_site_fract_z
Te1 0.000 0.000 0.000
Te2 0.500 0.500 0.000
C1 0.309 0.500 0.700
C2 0.809 0.000 0.700
Se1 0.138 0.500 0.433
Se2 0.638 0.000 0.433
```


Record 5
An optimized crystal structure of ReTeMo2, computed with PBE-GGA.

Summary:
E in eV for the cell shown: -69.69
Energy relative to the elements, uncorrected in eV/atom: 0.601
Size of the total moment in μB per cell: 0.0

Cell and atoms, written as CIF:
```
data_ReTeMo2
_chemical_formula_sum 'Re2 Te2 Mo4'
_space_group_name_H-M_alt 'P 1'
_space_group_IT_number 1
_cell_length_a 3.893
_cell_length_b 3.893
_cell_length_c 8.842
_cell_angle_alpha 90.00
_cell_angle_beta 90.00
_cell_angle_gamma 90.00
loop_
_space_group_symop_operation_xyz
'x,y,z'
loop_
_atom_site_label
_atom_site_fract_x
_atom_site_fract_y
_atom_site_fract_z
Re1 0.000 0.000 0.000
Re2 0.500 0.500 0.500
Te1 0.000 0.500 0.750
Te2 0.500 0.000 0.250
Mo1 0.000 0.000 0.500
Mo2 0.000 0.500 0.250
Mo3 0.500 0.000 0.750
Mo4 0.500 0.500 0.000
```


Record 6
An optimized crystal structure of YHo2SbO8, computed with PBE-GGA.

Summary:
E in eV for the cell shown: -89.16
Energy relative to the elements, uncorrected in eV/atom: -2.480
Size of the total moment in μB per cell: 1.5

Cell and atoms, written as CIF:
```
data_YHo2SbO8
_chemical_formula_sum 'Y1 Ho2 Sb1 O8'
_space_group_name_H-M_alt 'P 1'
_space_group_IT_number 1
_cell_length_a 4.014
_cell_length_b 5.242
_cell_length_c 7.330
_cell_angle_alpha 90.01
_cell_angle_beta 90.10
_cell_angle_gamma 94.36
loop_
_space_group_symop_operation_xyz
'x,y,z'
loop_
_atom_site_label
_atom_site_fract_x
_atom_site_fract_y
_atom_site_fract_z
Y1 0.000 0.000 0.000
Ho1 0.500 0.500 0.252
Ho2 0.500 0.500 0.748
Sb1 0.000 0.000 0.500
O1 0.042 0.757 0.719
O2 0.042 0.758 0.281
O3 0.436 0.220 0.500
O4 0.493 0.251 0.000
O5 0.507 0.749 0.000
O6 0.564 0.780 0.500
O7 0.958 0.242 0.719
O8 0.958 0.243 0.281
```


Record 7
An optimized crystal structure of LiNi4Sb, computed with PBE-GGA.

Summary:
E in eV for the cell shown: -29.78
Energy relative to the elements, uncorrected in eV/atom: -0.103
Size of the total moment in μB per cell: 0.0
Relative energy among the computed polymorphs in meV/atom: 0

Cell and atoms, written as CIF:
```
data_LiNi4Sb
_chemical_formula_sum 'Li1 Ni4 Sb1'
_space_group_name_H-M_alt 'P 1'
_space_group_IT_number 1
_cell_length_a 4.807
_cell_length_b 4.807
_cell_length_c 4.807
_cell_angle_alpha 60.00
_cell_angle_beta 60.00
_cell_angle_gamma 60.00
loop_
_space_group_symop_operation_xyz
'x,y,z'
loop_
_atom_site_label
_atom_site_fract_x
_atom_site_fract_y
_atom_site_fract_z
Li1 0.000 0.000 0.000
Ni1 0.124 0.625 0.625
Ni2 0.625 0.124 0.625
Ni3 0.625 0.625 0.124
Ni4 0.625 0.625 0.625
Sb1 0.250 0.250 0.250
```


Record 8
An optimized crystal structure of Na6Zn7, computed with PBE-GGA.

Summary:
E in eV for the cell shown: -16.77
Formation energy from the elements in eV per formula unit: 0.06
Size of the total moment in μB per cell: 0.0

Cell and atoms, written as CIF:
```
data_Na6Zn7
_chemical_formula_sum 'Na6 Zn7'
_space_group_name_H-M_alt 'P 1'
_space_group_IT_number 1
_cell_length_a 11.247
_cell_length_b 11.247
_cell_length_c 11.247
_cell_angle_alpha 28.10
_cell_angle_beta 28.10
_cell_angle_gamma 28.10
loop_
_space_group_symop_operation_xyz
'x,y,z'
loop_
_atom_site_label
_atom_site_fract_x
_atom_site_fract_y
_atom_site_fract_z
Na1 0.051 0.051 0.051
Na2 0.151 0.151 0.151
Na3 0.334 0.334 0.334
Na4 0.666 0.666 0.666
Na5 0.849 0.849 0.849
Na6 0.949 0.949 0.949
Zn1 0.094 0.596 0.596
Zn2 0.404 0.404 0.906
Zn3 0.404 0.906 0.404
Zn4 0.500 0.500 0.500
Zn5 0.596 0.094 0.596
Zn6 0.596 0.596 0.094
Zn7 0.906 0.404 0.404
```


Which value of E does entry 4 give? -26.30 eV for the cell shown


Among the records above, which one has the lowest E? NaTc2Rh